## LiSnBPd (GGA-PBE)

Data for crystalline LiSnBPd at its relaxed geometry. Values from VASP.

The structure in Quantum ESPRESSO input format:
```
&SYSTEM
  ibrav = 0, nat = 16, ntyp = 4
/
ATOMIC_SPECIES
Li 6.94 Li.upf
Sn 118.71 Sn.upf
B 10.81 B.upf
Pd 106.42 Pd.upf
ATOMIC_POSITIONS angstrom
Li 0.0000 0.0000 0.0000
Li 0.0000 3.0236 3.0236
Li 3.0236 0.0000 3.0236
Li 3.0236 3.0236 0.0000
Sn 1.5118 1.5118 1.5118
Sn 1.5118 4.5355 4.5355
Sn 4.5355 1.5118 4.5355
Sn 4.5355 4.5355 1.5118
B 0.0000 0.0000 3.0236
B 0.0000 3.0236 0.0000
B 3.0236 0.0000 0.0000
B 3.0236 3.0236 3.0236
Pd 1.5118 1.5118 4.5355
Pd 1.5118 4.5355 1.5118
Pd 4.5355 1.5118 1.5118
Pd 4.5355 4.5355 4.5355
CELL_PARAMETERS angstrom
6.0473 0.0000 0.0000
0.0000 6.0473 0.0000
0.0000 0.0000 6.0473
```

Values from the calculation:
As for the space group: F-43m (216). For the distance to the lowest polymorph of the same formula, the calculation gives 0.000 eV/atom.

---

## LiSnBPd (GGA-PBE)

Data for crystalline LiSnBPd at its relaxed geometry. Values from VASP.

The structure in Quantum ESPRESSO input format:
```
&SYSTEM
  ibrav = 0, nat = 16, ntyp = 4
/
ATOMIC_SPECIES
Li 6.94 Li.upf
Sn 118.71 Sn.upf
B 10.81 B.upf
Pd 106.42 Pd.upf
ATOMIC_POSITIONS angstrom
Li 0.0000 0.0000 0.0000
Li 0.0000 3.0765 3.0765
Li 3.0765 0.0000 3.0765
Li 3.0765 3.0765 0.0000
Sn 1.5382 1.5382 4.6147
Sn 1.5382 4.6147 1.5382
Sn 4.6147 1.5382 1.5382
Sn 4.6147 4.6147 4.6147
B 1.5382 1.5382 1.5382
B 1.5382 4.6147 4.6147
B 4.6147 1.5382 4.6147
B 4.6147 4.6147 1.5382
Pd 0.0000 0.0000 3.0765
Pd 0.0000 3.0765 0.0000
Pd 3.0765 0.0000 0.0000
Pd 3.0765 3.0765 3.0765
CELL_PARAMETERS angstrom
6.1529 0.0000 0.0000
0.0000 6.1529 0.0000
0.0000 0.0000 6.1529
```

Values from the calculation:
As for the space group: F-43m (216). For the distance to the lowest polymorph of the same formula, the calculation gives 0.004 eV/atom.

---

## LiPmB4 (GGA-PBE)

Data for crystalline LiPmB4 at its relaxed geometry. Values from VASP.

The structure in Quantum ESPRESSO input format:
```
&SYSTEM
  ibrav = 0, nat = 12, ntyp = 3
/
ATOMIC_SPECIES
Li 6.94 Li.upf
Pm 145.00 Pm.upf
B 10.81 B.upf
ATOMIC_POSITIONS angstrom
Li 0.0000 0.0000 0.0000
Li 1.5756 2.7119 4.0377
Pm 0.0000 0.0000 4.0377
Pm 1.5756 2.7119 0.0000
B 0.0000 1.7586 1.9856
B 0.0000 1.7586 6.0899
B 0.0000 3.6653 1.9856
B 0.0000 3.6653 6.0899
B 1.5756 0.9533 2.0522
B 1.5756 0.9533 6.0233
B 1.5756 4.4706 2.0522
B 1.5756 4.4706 6.0233
CELL_PARAMETERS angstrom
3.1513 0.0000 0.0000
0.0000 5.4239 0.0000
0.0000 0.0000 8.0755
```

Values from the calculation:
As for the space group: Immm (71). For the distance to the lowest polymorph of the same formula, the calculation gives 0.000 eV/atom.

---

## LiPmB4 (GGA-PBE)

Data for crystalline LiPmB4 at its relaxed geometry. Values from VASP.

The structure in Quantum ESPRESSO input format:
```
&SYSTEM
  ibrav = 0, nat = 6, ntyp = 3
/
ATOMIC_SPECIES
Li 6.94 Li.upf
Pm 145.00 Pm.upf
B 10.81 B.upf
ATOMIC_POSITIONS angstrom
Li 0.0000 0.0000 0.0000
Pm 0.0000 0.0000 3.1836
B 0.0000 1.8785 1.1701
B 0.0000 1.8785 5.1971
B 1.6268 0.9392 1.1701
B 1.6268 0.9392 5.1971
CELL_PARAMETERS angstrom
3.2536 0.0000 0.0000
-1.6268 2.8177 0.0000
0.0000 0.0000 6.3673
```

Values from the calculation:
As for the space group: P6/mmm (191). For the distance to the lowest polymorph of the same formula, the calculation gives 0.015 eV/atom.

---

## LiPrB (GGA-PBE)

Data for crystalline LiPrB at its relaxed geometry. Values from VASP.

The structure in Quantum ESPRESSO input format:
```
&SYSTEM
  ibrav = 0, nat = 12, ntyp = 3
/
ATOMIC_SPECIES
Li 6.94 Li.upf
Pr 140.91 Pr.upf
B 10.81 B.upf
ATOMIC_POSITIONS angstrom
Li 0.0000 0.0000 0.0000
Li 0.0000 3.0871 3.0871
Li 3.0871 0.0000 3.0871
Li 3.0871 3.0871 0.0000
Pr 0.0000 0.0000 3.0871
Pr 0.0000 3.0871 0.0000
Pr 3.0871 0.0000 0.0000
Pr 3.0871 3.0871 3.0871
B 1.5436 1.5436 1.5436
B 1.5436 4.6307 4.6307
B 4.6307 1.5436 4.6307
B 4.6307 4.6307 1.5436
CELL_PARAMETERS angstrom
6.1743 0.0000 0.0000
0.0000 6.1743 0.0000
0.0000 0.0000 6.1743
```

Values from the calculation:
As for the space group: F-43m (216). For the distance to the lowest polymorph of the same formula, the calculation gives 0.000 eV/atom.

---

## LiPrB (GGA-PBE)

Data for crystalline LiPrB at its relaxed geometry. Values from VASP.

The structure in Quantum ESPRESSO input format:
```
&SYSTEM
  ibrav = 0, nat = 12, ntyp = 3
/
ATOMIC_SPECIES
Li 6.94 Li.upf
Pr 140.91 Pr.upf
B 10.81 B.upf
ATOMIC_POSITIONS angstrom
Li 0.0000 0.0000 0.0000
Li 0.0000 3.0143 3.0143
Li 3.0143 0.0000 3.0143
Li 3.0143 3.0143 0.0000
Pr 1.5072 1.5072 1.5072
Pr 1.5072 4.5215 4.5215
Pr 4.5215 1.5072 4.5215
Pr 4.5215 4.5215 1.5072
B 1.5072 1.5072 4.5215
B 1.5072 4.5215 1.5072
B 4.5215 1.5072 1.5072
B 4.5215 4.5215 4.5215
CELL_PARAMETERS angstrom
6.0286 0.0000 0.0000
0.0000 6.0286 0.0000
0.0000 0.0000 6.0286
```

Values from the calculation:
As for the space group: F-43m (216). For the distance to the lowest polymorph of the same formula, the calculation gives 0.408 eV/atom.